ZnAgOs2 | GGA-PBE | optimized geometry

## Properties
The value obtained for the total energy is -6.461 eV/atom. For the total magnetization, the calculation gives 0.000 μB/atom. The value obtained for the density of states at the Fermi level is 0.55 states/eV per atom. The space-group type is P4mm. The calculation puts the formation energy from the elements at 185 meV/atom.

Lattice parameters (Å, degrees): 2.816 2.816 7.674 90.00 90.00 90.00
Atoms (fractional coordinates):
Zn: 0.000 0.000 0.487
Os: 0.000 0.000 0.027
Os: 0.500 0.500 0.241
Ag: 0.500 0.500 0.745

CaEr2ScAs4 | GGA-PBE | optimized geometry

## Properties
The value obtained for the total energy is -5.811 eV/atom. For the total magnetization, the calculation gives 0.000 μB/atom. The value obtained for the density of states at the Fermi level is 0.42 states/eV per atom. The space-group type is P2/m. The calculation puts the formation energy from the elements at -1304 meV/atom.

Lattice parameters (Å, degrees): 4.051 7.025 7.082 70.77 90.00 90.00
Atoms (fractional coordinates):
Er: 0.000 0.000 0.000
Er: 0.500 0.000 0.500
As: 0.000 0.248 0.262
As: 0.500 0.256 0.739
As: 0.500 0.744 0.261
As: 0.000 0.752 0.738
Sc: 0.000 0.500 0.500
Ca: 0.500 0.500 0.000

Pm6YTl5 | GGA-PBE | optimized geometry

## Properties
The value obtained for the total energy is -4.202 eV/atom. For the total magnetization, the calculation gives 0.000 μB/atom. The value obtained for the density of states at the Fermi level is 1.07 states/eV per atom. The space-group type is Immm. The calculation puts the formation energy from the elements at -302 meV/atom.

Lattice parameters (Å, degrees): 5.084 9.071 9.311 119.15 105.84 90.00
Atoms (fractional coordinates):
Tl: 0.351 0.851 0.703
Tl: 0.000 0.500 0.000
Tl: 0.649 0.149 0.297
Tl: 0.325 0.325 0.650
Tl: 0.675 0.675 0.350
Pm: 0.829 0.566 0.657
Pm: 0.500 0.269 0.000
Pm: 0.500 0.731 0.000
Pm: 0.171 0.909 0.343
Pm: 0.171 0.434 0.343
Pm: 0.829 0.091 0.657
Y: 0.000 0.000 0.000